NdZrGa2 | the Alexandria database | PBE | relaxed; DOS(E_F) = 3.42 states/eV/f.u.; E_form = -0.48 eV/atom
1.0
-0.500 1.938 -3.048
0.718 -2.963 -2.001
-6.422 -1.586 0.044
Ga Nd Zr
2 1 1
Direct
0.000 0.000 0.790
0.000 0.000 0.210
0.500 0.500 0.500
0.500 0.500 0.000